Crystalline AlCd2Ag at its relaxed geometry, computed with PBE-GGA.

```
AlCd2Ag
1.0
3.0490 0.0000 0.0000
-1.5245 2.6405 0.0000
0.0000 0.0000 29.4175
Al Cd Ag
3 6 3
Direct
0.0000 0.0000 0.0000 Al
0.3333 0.6667 0.6667 Al
0.6667 0.3333 0.3333 Al
0.0000 0.0000 0.2488 Cd
0.0000 0.0000 0.7512 Cd
0.3333 0.6667 0.4178 Cd
0.3333 0.6667 0.9155 Cd
0.6667 0.3333 0.0845 Cd
0.6667 0.3333 0.5822 Cd
0.0000 0.0000 0.5000 Ag
0.3333 0.6667 0.1667 Ag
0.6667 0.3333 0.8333 Ag
```

## Properties
Calculated formation energy: 0.014 eV per atom